w.
A plane-wave DFT calculation with PBE was carried out for a relaxed structure of Ba2PH. Values from VASP.

Cell and atoms, written as Quantum ESPRESSO input:
```
&SYSTEM
  ibrav = 0, nat = 4, ntyp = 3
/
ATOMIC_SPECIES
Ba 137.33 Ba.upf
P 30.97 P.upf
H 1.01 H.upf
CELL_PARAMETERS angstrom
4.482 0.000 0.000
2.241 3.882 0.000
2.241 1.294 7.581
ATOMIC_POSITIONS angstrom
Ba 2.241 1.294 5.796
Ba 2.241 1.294 1.764
P 6.724 3.882 7.569
H 4.482 2.588 3.824
```

## Properties
* crystal system: trigonal
* space-group type: R3m
* volume: 131.9 Å³ per cell

---

x.
A plane-wave DFT calculation with PBE was carried out for a relaxed structure of Ba2PH. Values from VASP.

Cell and atoms, written as Quantum ESPRESSO input:
```
&SYSTEM
  ibrav = 0, nat = 4, ntyp = 3
/
ATOMIC_SPECIES
P 30.97 P.upf
Ba 137.33 Ba.upf
H 1.01 H.upf
CELL_PARAMETERS angstrom
0.000 3.810 3.810
3.810 0.000 3.810
3.810 3.810 0.000
ATOMIC_POSITIONS angstrom
P 3.810 3.810 3.810
Ba 1.905 1.905 1.905
Ba 5.714 5.714 5.714
H 0.000 0.000 0.000
```

## Properties
* crystal system: cubic
* space-group type: Fm-3m
* volume: 110.6 Å³ per cell

---

Verdict on stability: x comes out at the bottom.